First-principles (PBE-GGA) data for a geometry-optimized Pm7Bi2Te2 structure, as listed in the Alexandria database.

Lattice parameters (Å, degrees): 7.4210 7.0064 7.4210 89.99 99.42 90.01
Last column: nearest neighbours and their distance in Å.
Fractional coordinates of all 11 atoms:
Pm 0.0000 0.2657 0.5001  2 Te 3.05, 1 Pm 3.28, 2 Bi 3.32
Pm 0.5001 0.7343 0.0000  2 Te 3.05, 1 Pm 3.28, 2 Bi 3.32
Pm 0.0000 0.7343 0.4999  2 Te 3.05, 1 Pm 3.28, 2 Bi 3.32
Pm 0.4999 0.2657 0.0000  2 Te 3.05, 1 Pm 3.28, 2 Bi 3.32
Pm 0.0000 0.0000 0.0000  2 Te 3.12
Pm 0.5000 0.7421 0.5000  2 Te 3.12, 1 Pm 3.39, 2 Bi 3.39
Pm 0.5000 0.2579 0.5000  2 Te 3.12, 1 Pm 3.39, 2 Bi 3.39
Bi 0.8064 0.5000 0.8064  6 Pm 3.32-3.39
Bi 0.1936 0.5000 0.1936  6 Pm 3.32-3.39
Te 0.7246 0.0001 0.2754  7 Pm 3.05-3.12
Te 0.2754 0.9999 0.7246  7 Pm 3.05-3.12

Space group   Cmmm (65)
VASP energy   -4.8575 eV/atom
Total magnetization   0.00 μB per cell
Calculated volume   381 Å³/cell
N(E_F)   12.20 states/eV/f.u.

=====

First-principles (PBE-GGA) data for a geometry-optimized Pm8Bi3Te4 structure, as listed in the Alexandria database.

Lattice parameters (Å, degrees): 8.9393 8.9616 8.9616 89.95 119.97 119.97
Last column: nearest neighbours and their distance in Å.
Fractional coordinates of all 15 atoms:
Pm 0.5054 0.2521 0.2521  2 Te 3.16-3.20, 3 Bi 3.17-3.18
Pm 0.0000 0.7496 0.2504  2 Bi 3.16, 3 Te 3.17
Pm 0.9987 0.2479 0.2479  4 Te 3.15-3.17, 1 Bi 3.17
Pm 0.5000 0.7498 0.2502  3 Te 3.16-3.17, 3 Bi 3.17
Pm 0.5000 0.2502 0.7498  3 Te 3.16-3.17, 3 Bi 3.17
Pm 0.0013 0.7521 0.7521  4 Te 3.15-3.17, 1 Bi 3.17
Pm 0.0000 0.2504 0.7496  2 Bi 3.16, 3 Te 3.17
Pm 0.4946 0.7479 0.7479  2 Te 3.16-3.20, 3 Bi 3.17-3.18
Bi 0.5000 0.5000 0.0000  6 Pm 3.16-3.17
Bi 0.5000 0.0000 0.5000  6 Pm 3.16-3.17
Bi 0.5000 0.5000 0.5000  6 Pm 3.17-3.18
Te 0.5000 0.0000 0.0000  6 Pm 3.16-3.17
Te 0.0000 0.5000 0.0000  6 Pm 3.16-3.17
Te 0.0000 0.0000 0.0000  6 Pm 3.15-3.20
Te 0.0000 0.0000 0.5000  6 Pm 3.16-3.17

Space group   C2/m (12)
VASP energy   -5.2327 eV/atom
Total magnetization   0.00 μB per cell
Calculated volume   508 Å³/cell
N(E_F)   8.45 states/eV/f.u.

=====

First-principles (PBE-GGA) data for a geometry-optimized Pm4Bi2Te5 structure, as listed in the Alexandria database.

Lattice parameters (Å, degrees): 4.5258 10.3476 11.5362 116.65 101.31 90.00
Last column: nearest neighbours and their distance in Å.
Fractional coordinates of all 11 atoms:
Pm 0.0000 0.1850 0.0000  4 Te 2.96-3.11
Pm 0.6880 0.6880 0.3759  4 Te 3.15, 1 Bi 3.15
Pm 0.0000 0.8150 0.0000  4 Te 2.96-3.11
Pm 0.3120 0.3120 0.6241  4 Te 3.15, 1 Bi 3.15
Bi 0.1553 0.1553 0.3106  1 Pm 3.15, 2 Te 3.21
Bi 0.8447 0.8447 0.6894  1 Pm 3.15, 2 Te 3.21
Te 0.8594 0.1688 0.7189  3 Pm 3.11-3.15, 1 Bi 3.21
Te 0.8594 0.5501 0.7189  3 Pm 3.11-3.15, 1 Bi 3.21
Te 0.1406 0.4499 0.2811  3 Pm 3.11-3.15, 1 Bi 3.21
Te 0.1406 0.8312 0.2811  3 Pm 3.11-3.15, 1 Bi 3.21
Te 0.5000 0.0000 0.0000  4 Pm 2.96

Space group   Immm (71)
VASP energy   -4.5976 eV/atom
Total magnetization   0.00 μB per cell
Calculated volume   471 Å³/cell
N(E_F)   6.18 states/eV/f.u.

=====

First-principles (PBE-GGA) data for a geometry-optimized PmBi2Te4 structure, as listed in the Alexandria database.

Lattice parameters (Å, degrees): 4.6509 7.5918 14.7795 90.00 90.00 107.84
Last column: nearest neighbours and their distance in Å.
Fractional coordinates of all 14 atoms:
Pm 0.6246 0.2492 0.7500  6 Te 3.16-3.31
Pm 0.3754 0.7508 0.2500  6 Te 3.16-3.31
Bi 0.1285 0.2570 0.4352  6 Te 3.10-3.28
Bi 0.8715 0.7430 0.9352  6 Te 3.10-3.28
Bi 0.1285 0.2570 0.0648  6 Te 3.10-3.28
Bi 0.8715 0.7430 0.5648  6 Te 3.10-3.28
Te 0.7767 0.5534 0.1234  3 Bi 3.10-3.28, 2 Pm 3.31
Te 0.7767 0.5534 0.3766  3 Bi 3.10-3.28, 2 Pm 3.31
Te 0.2233 0.4466 0.8766  3 Bi 3.10-3.28, 2 Pm 3.31
Te 0.2233 0.4466 0.6234  3 Bi 3.10-3.28, 2 Pm 3.31
Te 0.9770 0.9541 0.7500  2 Bi 3.13, 2 Pm 3.16
Te 0.0230 0.0459 0.2500  2 Bi 3.13, 2 Pm 3.16
Te 0.5000 0.0000 0.0000  4 Bi 3.13
Te 0.5000 0.0000 0.5000  4 Bi 3.13

Space group   Cmcm (63)
VASP energy   -4.1019 eV/atom
Total magnetization   0.00 μB per cell
Calculated volume   497 Å³/cell
N(E_F)   3.08 states/eV/f.u.

=====

First-principles (PBE-GGA) data for a geometry-optimized Pm4BiTe structure, as listed in the Alexandria database.

Lattice parameters (Å, degrees): 5.7809 7.8270 9.9965 113.50 106.82 90.02
Last column: nearest neighbours and their distance in Å.
Fractional coordinates of all 12 atoms:
Pm 0.6746 0.0336 0.8484  3 Bi 3.12-3.36, 1 Te 3.23, 3 Pm 3.42
Pm 0.8262 0.4658 0.1516  3 Bi 3.12-3.36, 1 Te 3.23, 3 Pm 3.42
Pm 0.3254 0.9664 0.1516  3 Bi 3.12-3.36, 1 Te 3.23, 3 Pm 3.42
Pm 0.1738 0.5342 0.8484  3 Bi 3.12-3.36, 1 Te 3.23, 3 Pm 3.42
Pm 0.0700 0.9221 0.6392  3 Te 3.00-3.35, 1 Bi 3.33, 1 Pm 3.36
Pm 0.4310 0.5779 0.3607  3 Te 3.00-3.35, 1 Bi 3.34, 1 Pm 3.36
Pm 0.9300 0.0779 0.3608  3 Te 3.00-3.35, 1 Bi 3.33, 1 Pm 3.36
Pm 0.5690 0.4221 0.6393  3 Te 3.00-3.35, 1 Bi 3.34, 1 Pm 3.36
Bi 0.7496 0.7499 0.0001  8 Pm 3.12-3.36
Bi 0.2504 0.2501 0.9999  8 Pm 3.12-3.36
Te 0.5000 0.0000 0.5000  8 Pm 3.00-3.35
Te 0.0000 0.5000 0.5000  8 Pm 3.00-3.35

Space group   C2/c (15)
VASP energy   -4.8504 eV/atom
Total magnetization   0.00 μB per cell
Calculated volume   394 Å³/cell
N(E_F)   7.59 states/eV/f.u.

=====

First-principles (PBE-GGA) data for a geometry-optimized PmBiTe structure, as listed in the Alexandria database.

Lattice parameters (Å, degrees): 3.3637 4.1972 16.6390 90.00 90.00 113.62
Last column: nearest neighbours and their distance in Å.
Fractional coordinates of all 6 atoms:
Pm 0.6058 0.2116 0.0000  6 Bi 3.36-3.45, 2 Pm 3.36
Pm 0.2929 0.5857 0.5000  6 Te 3.13-3.17, 2 Pm 3.36
Te 0.5863 0.1727 0.3693  3 Pm 3.13-3.17, 2 Te 3.36
Te 0.5863 0.1727 0.6307  3 Pm 3.13-3.17, 2 Te 3.36
Bi 0.2976 0.5953 0.8496  3 Pm 3.36-3.45, 2 Bi 3.36
Bi 0.2976 0.5953 0.1504  3 Pm 3.36-3.45, 2 Bi 3.36

Space group   Amm2 (38)
VASP energy   -4.4427 eV/atom
Total magnetization   0.28 μB per cell
Calculated volume   215 Å³/cell
N(E_F)   1.63 states/eV/f.u.
Excess energy over the best structure of this formula in the dataset   540 meV/atom

=====

First-principles (PBE-GGA) data for a geometry-optimized Pm2BiTe4 structure, as listed in the Alexandria database.

Lattice parameters (Å, degrees): 4.3723 7.8530 8.8838 117.29 104.25 90.00
Last column: nearest neighbours and their distance in Å.
Fractional coordinates of all 7 atoms:
Pm 0.7400 0.7576 0.4800  6 Te 3.10-3.24
Pm 0.2600 0.2424 0.5200  6 Te 3.10-3.24
Bi 0.0000 0.0000 0.0000  6 Te 3.18-3.24
Te 0.8784 0.2041 0.7569  3 Pm 3.10-3.17, 1 Bi 3.18
Te 0.1216 0.7959 0.2431  3 Pm 3.10-3.17, 1 Bi 3.18
Te 0.6351 0.2975 0.2703  3 Pm 3.19-3.24, 2 Bi 3.24
Te 0.3649 0.7025 0.7297  3 Pm 3.19-3.24, 2 Bi 3.24

Space group   C2/m (12)
VASP energy   -4.6746 eV/atom
Total magnetization   0.00 μB per cell
Calculated volume   260 Å³/cell
N(E_F)   2.56 states/eV/f.u.

=====

First-principles (PBE-GGA) data for a geometry-optimized Pm4Bi5Te structure, as listed in the Alexandria database.

Lattice parameters (Å, degrees): 4.5792 8.5210 9.5679 72.55 103.85 90.00
Last column: nearest neighbours and their distance in Å.
Fractional coordinates of all 10 atoms:
Pm 0.3394 0.9655 0.6787  1 Te 3.09, 5 Bi 3.26-3.34
Pm 0.0479 0.7282 0.0958  2 Te 3.18, 4 Bi 3.19-3.30
Pm 0.6606 0.0345 0.3213  1 Te 3.09, 5 Bi 3.26-3.34
Pm 0.9521 0.2718 0.9042  2 Te 3.18, 4 Bi 3.19-3.30
Bi 0.8609 0.6718 0.7219  4 Pm 3.30-3.65, 4 Bi 3.42-3.44
Bi 0.7838 0.2495 0.5676  4 Pm 3.19-3.34, 2 Bi 3.44
Bi 0.2162 0.7505 0.4324  4 Pm 3.19-3.34, 2 Bi 3.44
Bi 0.5000 0.5000 0.0000  4 Pm 3.30, 4 Bi 3.42
Bi 0.1391 0.3282 0.2781  4 Pm 3.30-3.65, 4 Bi 3.42-3.44
Te 0.5000 0.0000 0.0000  6 Pm 3.09-3.18

Space group   C2/m (12)
VASP energy   -4.8585 eV/atom
Total magnetization   0.00 μB per cell
Calculated volume   345 Å³/cell
N(E_F)   5.29 states/eV/f.u.

=====

First-principles (PBE-GGA) data for a geometry-optimized PmBiTe structure, as listed in the Alexandria database.

Lattice parameters (Å, degrees): 4.4499 4.4499 10.0780 102.75 102.75 90.00
Last column: nearest neighbours and their distance in Å.
Fractional coordinates of all 6 atoms:
Pm 0.3571 0.3571 0.7143  5 Te 3.25-3.26, 4 Bi 3.53
Pm 0.6429 0.6429 0.2857  5 Te 3.25-3.26, 4 Bi 3.53
Bi 0.0000 0.5000 0.0000  4 Bi 3.15
Bi 0.5000 0.0000 0.0000  4 Bi 3.15
Te 0.1874 0.1874 0.3748  5 Pm 3.25-3.26
Te 0.8126 0.8126 0.6252  5 Pm 3.25-3.26

Space group   I4/mmm (139)
VASP energy   -4.9829 eV/atom
Total magnetization   0.00 μB per cell
Calculated volume   190 Å³/cell
N(E_F)   1.38 states/eV/f.u.
Excess energy over the best structure of this formula in the dataset   0 meV/atom

=====

First-principles (PBE-GGA) data for a geometry-optimized PmBiTe structure, as listed in the Alexandria database.

Lattice parameters (Å, degrees): 4.0951 4.0951 6.1479 109.45 109.45 90.00
Last column: nearest neighbours and their distance in Å.
Fractional coordinates of all 3 atoms:
Te 0.3124 0.3124 0.6249  4 Pm 3.23, 5 Bi 3.31-3.58
Bi 0.0073 0.0073 0.0145  5 Te 3.31-3.58, 5 Pm 3.45-3.55
Pm 0.6803 0.6803 0.3606  4 Te 3.23, 5 Bi 3.45-3.55

Space group   I4mm (107)
VASP energy   -4.7235 eV/atom
Total magnetization   0.00 μB per cell
Calculated volume   91 Å³/cell
N(E_F)   2.42 states/eV/f.u.
Excess energy over the best structure of this formula in the dataset   259 meV/atom

=====

First-principles (PBE-GGA) data for a geometry-optimized Pm3BiTe3 structure, as listed in the Alexandria database.

Lattice parameters (Å, degrees): 9.3997 9.3997 8.3541 55.77 55.77 60.00
Last column: nearest neighbours and their distance in Å.
Fractional coordinates of all 14 atoms:
Pm 0.2952 0.5336 0.2391  5 Te 3.13-3.41, 2 Bi 3.28-3.33
Pm 0.9321 0.2952 0.2391  5 Te 3.13-3.41, 2 Bi 3.28-3.33
Pm 0.5336 0.9321 0.2391  5 Te 3.13-3.41, 2 Bi 3.28-3.33
Pm 0.4664 0.0679 0.7609  5 Te 3.13-3.41, 2 Bi 3.28-3.33
Pm 0.0679 0.7048 0.7609  5 Te 3.13-3.41, 2 Bi 3.28-3.33
Pm 0.7048 0.4664 0.7609  5 Te 3.13-3.41, 2 Bi 3.28-3.33
Bi 0.3395 0.3395 0.9816  6 Pm 3.28-3.33
Bi 0.6605 0.6605 0.0184  6 Pm 3.28-3.33
Te 0.3558 0.8156 0.7284  5 Pm 3.13-3.41
Te 0.8156 0.1002 0.7284  5 Pm 3.13-3.41
Te 0.1002 0.3558 0.7284  5 Pm 3.13-3.41
Te 0.8998 0.6442 0.2716  5 Pm 3.13-3.41
Te 0.1844 0.8998 0.2716  5 Pm 3.13-3.41
Te 0.6442 0.1844 0.2716  5 Pm 3.13-3.41

Space group   R-3 (148)
VASP energy   -5.1518 eV/atom
Total magnetization   0.00 μB per cell
Calculated volume   486 Å³/cell
N(E_F)   0.79 states/eV/f.u.

=====

First-principles (PBE-GGA) data for a geometry-optimized Pm3Bi2Te structure, as listed in the Alexandria database.

Lattice parameters (Å, degrees): 4.5555 6.4316 7.8538 114.17 106.86 90.00
Last column: nearest neighbours and their distance in Å.
Fractional coordinates of all 6 atoms:
Pm 0.8324 0.3324 0.1648  4 Bi 3.20-3.22, 2 Te 3.22
Pm 0.1676 0.6676 0.8352  4 Bi 3.20-3.22, 2 Te 3.22
Pm 0.5000 0.0000 0.5000  4 Bi 3.21, 2 Te 3.22
Bi 0.8334 0.8334 0.1668  6 Pm 3.20-3.22
Bi 0.1666 0.1666 0.8332  6 Pm 3.20-3.22
Te 0.5000 0.5000 0.5000  6 Pm 3.22

Space group   Immm (71)
VASP energy   -5.3136 eV/atom
Total magnetization   0.00 μB per cell
Calculated volume   199 Å³/cell
N(E_F)   1.98 states/eV/f.u.